ThTl2Cd: relaxed, PBE-GGA.

The space group is P4/mmm (No. 123) and the conventional cell measures 4.814, 4.814 and 4.714 Å, with angles of 90.00, 90.00 and 90.00 degrees. The inequivalent atoms are Th at (0.000, 0.000, 0.000), Tl at (0.000, 0.500, 0.500) and Cd at (0.500, 0.500, 0.000).

The value obtained for the calculated volume is 109.3 Å³/f.u. The energy is -3.430 eV per atom. For the calculated formation energy, the calculation gives -0.163 eV per atom.